Record 1
# Mn2ReP GGA-PBE relaxed
# Total magnetic moment   0.00 μB/f.u.
# Fermi-level density of states   1.111 states/eV per atom
# Formation energy   -0.026 eV per atom
data_Mn2ReP
_space_group_name_H-M_alt 'P 1'
_space_group_IT_number 1
_cell_length_a 2.691
_cell_length_b 3.718
_cell_length_c 4.946
_cell_angle_alpha 90.00
_cell_angle_beta 103.01
_cell_angle_gamma 90.00
loop_
_space_group_symop_operation_xyz
'x,y,z'
loop_
_atom_site_label
_atom_site_type_symbol
_atom_site_fract_x
_atom_site_fract_y
_atom_site_fract_z
Mn1 Mn 0.120 0.000 0.271
Mn2 Mn 0.880 0.000 0.729
Re1 Re 0.500 0.500 0.000
P1 P 0.500 0.500 0.500

Record 2
# Mn2ReP GGA-PBE relaxed
# Total magnetic moment   0.00 μB/f.u.
# Fermi-level density of states   1.002 states/eV per atom
# Formation energy   0.126 eV per atom
data_Mn2ReP
_space_group_name_H-M_alt 'P 1'
_space_group_IT_number 1
_cell_length_a 4.074
_cell_length_b 4.074
_cell_length_c 2.916
_cell_angle_alpha 90.00
_cell_angle_beta 90.00
_cell_angle_gamma 90.00
loop_
_space_group_symop_operation_xyz
'x,y,z'
loop_
_atom_site_label
_atom_site_type_symbol
_atom_site_fract_x
_atom_site_fract_y
_atom_site_fract_z
Mn1 Mn 0.000 0.500 0.000
Mn2 Mn 0.500 0.000 0.000
Re1 Re 0.000 0.000 0.500
P1 P 0.500 0.500 0.500

Record 3
# Mn2ReP GGA-PBE relaxed
# Total magnetic moment   3.52 μB/f.u.
# Fermi-level density of states   0.898 states/eV per atom
# Formation energy   0.017 eV per atom
data_Mn2ReP
_space_group_name_H-M_alt 'P 1'
_space_group_IT_number 1
_cell_length_a 4.575
_cell_length_b 4.575
_cell_length_c 4.575
_cell_angle_alpha 133.72
_cell_angle_beta 133.72
_cell_angle_gamma 67.53
loop_
_space_group_symop_operation_xyz
'x,y,z'
loop_
_atom_site_label
_atom_site_type_symbol
_atom_site_fract_x
_atom_site_fract_y
_atom_site_fract_z
Mn1 Mn 0.250 0.750 0.500
Mn2 Mn 0.750 0.250 0.500
Re1 Re 0.000 0.000 0.000
P1 P 0.500 0.500 0.000

Record 4
# MnRePRu GGA-PBE relaxed
# Total magnetic moment   2.89 μB/f.u.
# Fermi-level density of states   0.497 states/eV per atom
# Formation energy   -0.120 eV per atom
data_MnRePRu
_space_group_name_H-M_alt 'P 1'
_space_group_IT_number 1
_cell_length_a 4.192
_cell_length_b 4.192
_cell_length_c 4.192
_cell_angle_alpha 60.00
_cell_angle_beta 60.00
_cell_angle_gamma 60.00
loop_
_space_group_symop_operation_xyz
'x,y,z'
loop_
_atom_site_label
_atom_site_type_symbol
_atom_site_fract_x
_atom_site_fract_y
_atom_site_fract_z
Mn1 Mn 0.000 0.000 0.000
Re1 Re 0.250 0.250 0.250
P1 P 0.500 0.500 0.500
Ru1 Ru 0.750 0.750 0.750

Record 5
# MnRePS2 GGA-PBE relaxed
# Total magnetic moment   0.14 μB/f.u.
# Fermi-level density of states   1.166 states/eV per atom
# E   -29.53 eV/cell
data_MnRePS2
_space_group_name_H-M_alt 'P 1'
_space_group_IT_number 1
_cell_length_a 4.488
_cell_length_b 4.488
_cell_length_c 4.964
_cell_angle_alpha 90.00
_cell_angle_beta 90.00
_cell_angle_gamma 90.00
loop_
_space_group_symop_operation_xyz
'x,y,z'
loop_
_atom_site_label
_atom_site_type_symbol
_atom_site_fract_x
_atom_site_fract_y
_atom_site_fract_z
Mn1 Mn 0.000 0.000 0.000
Re1 Re 0.500 0.500 0.500
P1 P 0.500 0.500 0.000
S1 S 0.000 0.500 0.500
S2 S 0.500 0.000 0.500

Record 6
# MnRePS2 GGA-PBE relaxed
# Total magnetic moment   2.13 μB/f.u.
# Fermi-level density of states   1.154 states/eV per atom
# E   -29.76 eV/cell
data_MnRePS2
_space_group_name_H-M_alt 'P 1'
_space_group_IT_number 1
_cell_length_a 4.314
_cell_length_b 4.314
_cell_length_c 4.355
_cell_angle_alpha 90.00
_cell_angle_beta 90.00
_cell_angle_gamma 90.00
loop_
_space_group_symop_operation_xyz
'x,y,z'
loop_
_atom_site_label
_atom_site_type_symbol
_atom_site_fract_x
_atom_site_fract_y
_atom_site_fract_z
Mn1 Mn 0.000 0.000 0.000
Re1 Re 0.500 0.500 0.500
P1 P 0.000 0.000 0.500
S1 S 0.000 0.500 0.000
S2 S 0.500 0.000 0.000

Record 7
# MnReTcP GGA-PBE relaxed
# Total magnetic moment   2.40 μB/f.u.
# Fermi-level density of states   0.806 states/eV per atom
# Formation energy   -0.137 eV per atom
data_MnReTcP
_space_group_name_H-M_alt 'P 1'
_space_group_IT_number 1
_cell_length_a 4.195
_cell_length_b 4.195
_cell_length_c 4.195
_cell_angle_alpha 60.00
_cell_angle_beta 60.00
_cell_angle_gamma 60.00
loop_
_space_group_symop_operation_xyz
'x,y,z'
loop_
_atom_site_label
_atom_site_type_symbol
_atom_site_fract_x
_atom_site_fract_y
_atom_site_fract_z
Mn1 Mn 0.000 0.000 0.000
Re1 Re 0.250 0.250 0.250
Tc1 Tc 0.750 0.750 0.750
P1 P 0.500 0.500 0.500

Record 8
# MnTlRe2P GGA-PBE relaxed
# Total magnetic moment   8.25 μB/f.u.
# Fermi-level density of states   1.137 states/eV per atom
# Formation energy   2.892 eV per atom
data_MnTlRe2P
_space_group_name_H-M_alt 'P 1'
_space_group_IT_number 1
_cell_length_a 5.052
_cell_length_b 5.052
_cell_length_c 4.865
_cell_angle_alpha 90.00
_cell_angle_beta 90.00
_cell_angle_gamma 90.00
loop_
_space_group_symop_operation_xyz
'x,y,z'
loop_
_atom_site_label
_atom_site_type_symbol
_atom_site_fract_x
_atom_site_fract_y
_atom_site_fract_z
Mn1 Mn 0.000 0.000 0.000
Tl1 Tl 0.000 0.000 0.500
Re1 Re 0.000 0.500 0.500
Re2 Re 0.500 0.000 0.500
P1 P 0.500 0.500 0.000

Record 9
# MnP2Rh GGA-PBE relaxed
# Total magnetic moment   1.48 μB/f.u.
# Fermi-level density of states   0.606 states/eV per atom
# Formation energy   0.019 eV per atom
data_MnP2Rh
_space_group_name_H-M_alt 'P 1'
_space_group_IT_number 1
_cell_length_a 4.766
_cell_length_b 4.766
_cell_length_c 4.766
_cell_angle_alpha 146.05
_cell_angle_beta 113.55
_cell_angle_gamma 76.76
loop_
_space_group_symop_operation_xyz
'x,y,z'
loop_
_atom_site_label
_atom_site_type_symbol
_atom_site_fract_x
_atom_site_fract_y
_atom_site_fract_z
Mn1 Mn 0.000 0.000 0.000
P1 P 0.239 0.739 0.500
P2 P 0.761 0.261 0.500
Rh1 Rh 0.500 0.500 0.000

Record 10
# MnP2Rh GGA-PBE relaxed
# Total magnetic moment   3.76 μB/f.u.
# Fermi-level density of states   0.993 states/eV per atom
# Formation energy   0.202 eV per atom
data_MnP2Rh
_space_group_name_H-M_alt 'P 1'
_space_group_IT_number 1
_cell_length_a 4.277
_cell_length_b 4.277
_cell_length_c 4.277
_cell_angle_alpha 60.00
_cell_angle_beta 60.00
_cell_angle_gamma 60.00
loop_
_space_group_symop_operation_xyz
'x,y,z'
loop_
_atom_site_label
_atom_site_type_symbol
_atom_site_fract_x
_atom_site_fract_y
_atom_site_fract_z
Mn1 Mn 0.000 0.000 0.000
P1 P 0.500 0.500 0.500
P2 P 0.750 0.750 0.750
Rh1 Rh 0.250 0.250 0.250

Record 11
# MnP2Rh GGA-PBE relaxed
# Total magnetic moment   0.02 μB/f.u.
# Fermi-level density of states   0.946 states/eV per atom
# Formation energy   -0.214 eV per atom
data_MnP2Rh
_space_group_name_H-M_alt 'P 1'
_space_group_IT_number 1
_cell_length_a 2.886
_cell_length_b 2.886
_cell_length_c 5.842
_cell_angle_alpha 90.00
_cell_angle_beta 90.00
_cell_angle_gamma 90.00
loop_
_space_group_symop_operation_xyz
'x,y,z'
loop_
_atom_site_label
_atom_site_type_symbol
_atom_site_fract_x
_atom_site_fract_y
_atom_site_fract_z
Mn1 Mn 0.000 0.000 0.000
P1 P 0.500 0.500 0.230
P2 P 0.500 0.500 0.770
Rh1 Rh 0.000 0.000 0.500

Record 12
# MnP2Rh GGA-PBE relaxed
# Total magnetic moment   2.94 μB/f.u.
# Fermi-level density of states   0.606 states/eV per atom
# Formation energy   -0.179 eV per atom
data_MnP2Rh
_space_group_name_H-M_alt 'P 1'
_space_group_IT_number 1
_cell_length_a 2.978
_cell_length_b 3.588
_cell_length_c 5.200
_cell_angle_alpha 90.00
_cell_angle_beta 90.00
_cell_angle_gamma 90.00
loop_
_space_group_symop_operation_xyz
'x,y,z'
loop_
_atom_site_label
_atom_site_type_symbol
_atom_site_fract_x
_atom_site_fract_y
_atom_site_fract_z
Mn1 Mn 0.000 0.000 0.000
P1 P 0.500 0.500 0.210
P2 P 0.500 0.500 0.790
Rh1 Rh 0.500 0.000 0.500

Record 13
# MnP2Rh GGA-PBE relaxed
# Total magnetic moment   0.81 μB/f.u.
# Fermi-level density of states   0.756 states/eV per atom
# Formation energy   -0.296 eV per atom
data_MnP2Rh
_space_group_name_H-M_alt 'P 1'
_space_group_IT_number 1
_cell_length_a 3.901
_cell_length_b 3.901
_cell_length_c 4.972
_cell_angle_alpha 102.32
_cell_angle_beta 102.32
_cell_angle_gamma 42.78
loop_
_space_group_symop_operation_xyz
'x,y,z'
loop_
_atom_site_label
_atom_site_type_symbol
_atom_site_fract_x
_atom_site_fract_y
_atom_site_fract_z
Mn1 Mn 0.000 0.000 0.000
P1 P 0.255 0.255 0.785
P2 P 0.745 0.745 0.215
Rh1 Rh 0.500 0.500 0.500

Record 14
# MnP4Rh GGA-PBE relaxed
# Total magnetic moment   3.92 μB/f.u.
# Fermi-level density of states   0.839 states/eV per atom
# Formation energy   0.581 eV per atom
data_MnP4Rh
_space_group_name_H-M_alt 'P 1'
_space_group_IT_number 1
_cell_length_a 4.979
_cell_length_b 4.979
_cell_length_c 4.979
_cell_angle_alpha 60.00
_cell_angle_beta 60.00
_cell_angle_gamma 60.00
loop_
_space_group_symop_operation_xyz
'x,y,z'
loop_
_atom_site_label
_atom_site_type_symbol
_atom_site_fract_x
_atom_site_fract_y
_atom_site_fract_z
Mn1 Mn 0.000 0.000 0.000
P1 P 0.123 0.626 0.626
P2 P 0.626 0.123 0.626
P3 P 0.626 0.626 0.123
P4 P 0.626 0.626 0.626
Rh1 Rh 0.250 0.250 0.250

Record 15
# MnP2Rh GGA-PBE relaxed
# Total magnetic moment   1.96 μB/f.u.
# Fermi-level density of states   0.464 states/eV per atom
# Formation energy   -0.409 eV per atom
data_MnP2Rh
_space_group_name_H-M_alt 'P 1'
_space_group_IT_number 1
_cell_length_a 3.273
_cell_length_b 3.273
_cell_length_c 4.899
_cell_angle_alpha 90.00
_cell_angle_beta 90.00
_cell_angle_gamma 90.00
loop_
_space_group_symop_operation_xyz
'x,y,z'
loop_
_atom_site_label
_atom_site_type_symbol
_atom_site_fract_x
_atom_site_fract_y
_atom_site_fract_z
Mn1 Mn 0.000 0.000 0.000
P1 P 0.000 0.000 0.491
P2 P 0.500 0.500 0.133
Rh1 Rh 0.500 0.500 0.639